The following is a DFT calculation (PBE) of a relaxed structure of SrMg2.

a b c (Å): 3.819 3.819 16.103
angles (deg): 90.00 90.00 120.00
Fractional coordinates of all 6 atoms:
1 Sr 0.333 0.667 0.250
2 Sr 0.667 0.333 0.750
3 Mg 0.333 0.667 0.570
4 Mg 0.667 0.333 0.070
5 Mg 0.333 0.667 0.930
6 Mg 0.667 0.333 0.430

- Crystal system: hexagonal
- Total energy: -1.468 eV/atom
- Symmetry: P6_3/mmc
- Mass density: 2224 kg/m3